A plane-wave DFT calculation with PBE-GGA was carried out for a relaxed structure of La2ScVH.

DOS(E_F): 0.9062 states/eV/atom
Total DFT energy (no corrections): -28.3 eV for the cell shown

The structure in POSCAR format:
```
La2ScVH
1.0
5.415 0.000 0.000
0.000 5.415 0.000
0.000 0.000 3.889
La Sc V H
2 1 1 1
direct
0.000 0.500 0.000 La
0.500 0.000 0.000 La
0.000 0.000 0.500 Sc
0.500 0.500 0.500 V
0.500 0.500 0.000 H
```